(1)
A plane-wave DFT calculation with GGA-PBE was carried out for a relaxed Tm3Tl3VS8 crystal.

Cell and atoms, written as POSCAR:
```
Tm3Tl3VS8
1.0
7.680 0.000 0.000
-3.840 6.649 -0.028
0.000 -4.400 7.590
Tm Tl V S
3 3 1 8
Direct
0.500 0.000 0.500
0.500 0.500 0.500
0.000 0.500 0.500
0.000 0.000 0.000
0.000 0.500 0.000
0.500 0.500 0.000
0.000 0.000 0.500
0.267 0.535 0.302
0.733 0.465 0.698
0.786 0.572 0.314
0.214 0.428 0.686
0.786 0.029 0.315
0.214 0.971 0.685
0.243 0.029 0.315
0.757 0.971 0.685
```

Crystal system: trigonal
Uncorrected formation energy: -1300 meV per atom
Electronic total energy: -82.2 eV for the cell shown

---

(2)
A plane-wave DFT calculation with GGA-PBE was carried out for a relaxed CrTc3Hg crystal.

Cell and atoms, written as POSCAR:
```
CrTc3Hg
1.0
4.471 0.000 0.000
0.000 4.471 0.000
0.000 0.000 4.471
Cr Hg Tc
1 1 3
Direct
0.000 0.000 0.000
0.500 0.500 0.500
0.000 0.500 0.000
0.000 0.000 0.500
0.500 0.000 0.000
```

Crystal system: cubic
Electronic total energy: -35.0 eV for the cell shown

---

(3)
A plane-wave DFT calculation with GGA-PBE was carried out for a relaxed ZrGe2Br8 crystal.

Cell and atoms, written as POSCAR:
```
ZrGe2Br8
1.0
7.383 -0.203 1.053
1.464 7.443 1.853
0.394 -2.111 7.508
Ge Br Zr
2 8 1
Direct
0.589 0.305 0.305
0.411 0.695 0.695
0.211 0.679 0.015
0.789 0.985 0.321
0.226 0.141 0.141
0.774 0.859 0.859
0.211 0.015 0.679
0.789 0.321 0.985
0.768 0.461 0.461
0.232 0.539 0.539
0.000 0.000 0.000
```

Polymorph energy (0 for the lowest one): 0 meV per atom
Crystal system: monoclinic
Uncorrected formation energy: -893 meV per atom
Electronic total energy: -41.0 eV for the cell shown

---

(4)
A plane-wave DFT calculation with GGA-PBE was carried out for a relaxed NaDy2Au4 crystal.

Cell and atoms, written as POSCAR:
```
NaDy2Au4
1.0
4.322 -0.148 2.096
1.818 3.924 2.096
0.821 0.505 9.480
Na Dy Au
1 2 4
Direct
0.000 0.000 0.000
0.857 0.857 0.714
0.143 0.143 0.286
0.664 0.664 0.503
0.336 0.336 0.497
0.596 0.596 0.106
0.404 0.404 0.894
```

Crystal system: monoclinic
Electronic total energy: -28.2 eV for the cell shown

---

(5)
A plane-wave DFT calculation with GGA-PBE was carried out for a relaxed FeCuS2 crystal.

Cell and atoms, written as POSCAR:
```
FeCuS2
1.0
3.779 -0.004 0.000
-1.887 3.275 0.001
0.003 -0.002 6.425
S Fe Cu
2 1 1
Direct
0.333 0.667 0.272
0.667 0.333 0.736
0.333 0.667 0.626
0.667 0.333 0.366
```

Crystal system: trigonal
Uncorrected formation energy: -221 meV per atom
Electronic total energy: -21.7 eV for the cell shown

---

(6)
A plane-wave DFT calculation with GGA-PBE was carried out for a relaxed Er2TiCdO6 crystal.

Cell and atoms, written as POSCAR:
```
Er2TiCdO6
1.0
-0.001 -2.018 4.867
-3.892 -3.250 -1.348
3.518 -3.595 -1.490
Er Ti Cd O
2 1 1 6
Direct
0.975 0.500 0.000
0.975 0.000 0.500
0.599 0.000 0.000
0.528 0.500 0.500
0.747 0.237 0.237
0.747 0.237 0.763
0.132 0.500 0.500
0.249 0.000 0.000
0.747 0.763 0.763
0.747 0.763 0.237
```

Crystal system: tetragonal
Uncorrected formation energy: -2726 meV per atom
Electronic total energy: -74.9 eV for the cell shown

---

(7)
A plane-wave DFT calculation with GGA-PBE was carried out for a relaxed Sb5C crystal.

Cell and atoms, written as POSCAR:
```
Sb5C
1.0
1.598 8.276 -0.152
-1.598 8.276 -0.152
0.000 1.782 6.371
Sb C
5 1
Direct
0.427 0.427 0.167
0.602 0.602 0.833
0.602 0.602 0.293
0.930 0.930 0.657
0.278 0.278 0.970
0.995 0.995 0.913
```

Polymorph energy (0 for the lowest one): 64 meV per atom
Crystal system: monoclinic
Uncorrected formation energy: 629 meV per atom
Electronic total energy: -26.1 eV for the cell shown

---

(8)
A plane-wave DFT calculation with GGA-PBE was carried out for a relaxed MnCoB crystal.

Cell and atoms, written as POSCAR:
```
MnCoB
1.0
3.517 0.000 0.000
0.000 3.553 -0.461
0.000 -1.236 4.393
Co B Mn
2 2 2
Direct
0.250 0.112 0.224
0.750 0.888 0.776
0.250 0.750 0.500
0.750 0.250 0.500
0.250 0.404 0.808
0.750 0.596 0.192
```

Crystal system: orthorhombic
Electronic total energy: -46.6 eV for the cell shown

---

(9)
A plane-wave DFT calculation with GGA-PBE was carried out for a relaxed Tl2POs crystal.

Cell and atoms, written as POSCAR:
```
Tl2POs
1.0
-0.033 -1.859 -5.107
1.787 0.829 -5.065
4.869 -3.269 -1.838
Tl P Os
2 1 1
Direct
0.037 0.037 0.971
0.187 0.187 0.349
0.853 0.853 0.735
0.423 0.423 0.446
```

Polymorph energy (0 for the lowest one): 181 meV per atom
Crystal system: monoclinic
Electronic total energy: -20.0 eV for the cell shown

---

(10)
A plane-wave DFT calculation with GGA-PBE was carried out for a relaxed LiSm2Hf crystal.

Cell and atoms, written as POSCAR:
```
LiSm2Hf
1.0
3.420 0.000 0.000
0.000 3.420 0.000
0.000 0.000 9.389
Hf Sm Li
1 2 1
Direct
0.500 0.500 0.500
0.000 0.000 0.744
0.000 0.000 0.256
0.500 0.500 0.000
```

Polymorph energy (0 for the lowest one): 0 meV per atom
Crystal system: tetragonal
Electronic total energy: -20.8 eV for the cell shown

---

(11)
A plane-wave DFT calculation with GGA-PBE was carried out for a relaxed NdDy2Ga2Cu2 crystal.

Cell and atoms, written as POSCAR:
```
NdDy2Ga2Cu2
1.0
4.429 0.000 0.000
2.214 3.836 0.000
2.214 1.279 9.177
Nd Dy Ga Cu
1 2 2 2
Direct
0.000 0.000 0.000
0.125 0.125 0.624
0.875 0.875 0.376
0.741 0.741 0.778
0.259 0.259 0.222
0.596 0.596 0.212
0.404 0.404 0.788
```

Crystal system: trigonal
Electronic total energy: -30.9 eV for the cell shown

---

(12)
A plane-wave DFT calculation with GGA-PBE was carried out for a relaxed Zn3IrPt2 crystal.

Cell and atoms, written as POSCAR:
```
Zn3IrPt2
1.0
4.337 0.000 0.018
2.168 6.510 0.009
-0.026 0.000 6.096
Zn Ir Pt
6 2 4
Direct
0.832 0.336 0.754
0.500 0.000 0.246
0.168 0.664 0.246
0.832 0.336 0.246
0.168 0.664 0.754
0.500 0.000 0.754
0.334 0.332 0.000
0.666 0.668 0.000
0.000 0.000 0.000
0.000 0.000 0.500
0.335 0.330 0.500
0.665 0.670 0.500
```

Crystal system: orthorhombic
Electronic total energy: -54.6 eV for the cell shown

---

| no. | DOS at the Fermi energy (states/eV/cell) |
| --- | --- |
| 1 | 6.04 |
| 2 | 5.12 |
| 3 | 0.00 |
| 4 | 3.77 |
| 5 | 3.89 |
| 6 | 0.00 |
| 7 | 2.73 |
| 8 | 5.31 |
| 9 | 2.24 |
| 10 | 4.96 |
| 11 | 4.97 |
| 12 | 2.47 |